1.
! LiLa2Se3, relaxed, DFT PBE; values from VASP
&SYSTEM
  ibrav = 0, nat = 12, ntyp = 3
/
ATOMIC_SPECIES
Li 6.94 Li.upf
La 138.91 La.upf
Se 78.96 Se.upf
ATOMIC_POSITIONS crystal
Li 0.000 0.000 0.000
Li 0.500 0.500 0.500
La 0.000 0.000 0.340
La 0.000 0.000 0.660
La 0.500 0.500 0.160
La 0.500 0.500 0.840
Se 0.000 0.000 0.165
Se 0.000 0.000 0.500
Se 0.000 0.000 0.835
Se 0.500 0.500 0.000
Se 0.500 0.500 0.335
Se 0.500 0.500 0.665
CELL_PARAMETERS angstrom
4.273 0.000 0.000
0.000 4.273 0.000
0.000 0.000 18.034
! SG   I4/mmm (139)
! Total magnetic moment   0.000 μB per atom
! Formation energy without anion corrections   -172.5 kJ/mol of atoms



2.
! Mg2TaAs, relaxed, DFT PBE; values from VASP
&SYSTEM
  ibrav = 0, nat = 8, ntyp = 3
/
ATOMIC_SPECIES
Mg 24.30 Mg.upf
Ta 180.95 Ta.upf
As 74.92 As.upf
ATOMIC_POSITIONS crystal
Mg 0.000 0.000 0.000
Mg 0.000 0.500 0.279
Mg 0.500 0.000 0.279
Mg 0.500 0.500 0.000
Ta 0.000 0.500 0.745
Ta 0.500 0.000 0.745
As 0.000 0.000 0.540
As 0.500 0.500 0.540
CELL_PARAMETERS angstrom
3.586 0.000 0.000
0.000 4.873 0.000
0.000 0.000 9.127
! SG   Cmm2 (35)
! Energy of formation from the pure elements   0.0141 eV/atom
! Total magnetic moment   0.000 μB per atom



3.
! TaNiIr2, relaxed, DFT PBE; values from VASP
&SYSTEM
  ibrav = 0, nat = 8, ntyp = 3
/
ATOMIC_SPECIES
Ta 180.95 Ta.upf
Ni 58.69 Ni.upf
Ir 192.22 Ir.upf
ATOMIC_POSITIONS crystal
Ta 0.000 0.000 0.000
Ta 0.500 0.500 0.500
Ni 0.000 0.000 0.500
Ni 0.500 0.500 0.000
Ir 0.000 0.500 0.250
Ir 0.000 0.500 0.750
Ir 0.500 0.000 0.250
Ir 0.500 0.000 0.750
CELL_PARAMETERS angstrom
3.931 0.000 0.000
0.000 3.931 0.000
0.000 0.000 7.515
! SG   I4/mmm (139)
! Energy of formation from the pure elements   -0.4771 eV/atom
! Total magnetic moment   0.001 μB per atom



Which value of total magnetic moment does entry 3 give?
0.001 μB per atom



total magnetic moment of number 2 (Mg2TaAs)?
0.000 μB per atom